Entry from Alexandria via LeMat-Bulk: a geometry-optimized AcScCo2O6 structure (PBE with a Hubbard U).

The structure belongs to space group R-3 (No. 148, hexagonal axes); the cell edges are 5.1098, 5.1098 and 17.8411 Å and the angles 90.00°, 90.00° and 120.00°. The inequivalent atoms are Ac at (0.0000, 0.0000, 0.0000), Sc at (0.0000, 0.0000, 0.5000), Co at (0.0000, 0.0000, 0.1700) and O at (0.0044, 0.6464, 0.5597).

As for the uncorrected energy: -216.824 eV for the cell shown. Its calculated volume is 13.45 A^3/atom. Its density of states at the Fermi level is 0.0000 states/eV per atom.